4
Lattice="-0.899 -2.765 -0.346 2.690 0.782 -0.852 2.858 -1.847 7.331" Properties=species:S:1:pos:R:3 comment="RuCl | Alexandria via LeMat-Bulk | meta-GGA SCAN | single point on PBEsol structure" polymorph_energy_ev_per_atom=0.000 crystal_system=hexagonal spacegroup=P6_3mc pbc="T T T"
Ru 2.236 -2.835 4.456
Ru 2.003 -0.729 0.623
Cl 2.782 -1.233 2.622
Cl 3.015 -3.339 6.456

***

6
Lattice="3.971 0.000 0.000 -1.985 3.439 0.000 0.000 0.000 6.056" Properties=species:S:1:pos:R:3 comment="Ru2Cl | Alexandria via LeMat-Bulk | meta-GGA SCAN | single point on PBEsol structure" polymorph_energy_ev_per_atom=0.720 crystal_system=hexagonal spacegroup=P6_3/mmc pbc="T T T"
Ru 0.000 0.000 0.000
Ru 0.000 2.292 4.542
Ru 1.985 1.146 1.514
Ru 0.000 0.000 3.028
Cl 1.985 1.146 4.542
Cl 0.000 2.292 1.514

***

| no. | DOS at the Fermi energy (states/eV/f.u.) | E_form (uncorrected) (eV per atom) | calculated volume (A^3/atom) |
| --- | --- | --- | --- |
| 1 | 2.4 | 0.597 | 15.0 |
| 2 | 2.1 | 1.194 | 13.8 |